# 1
This record from the Alexandria database describes crystalline NaLiNbN3 at its relaxed geometry. The functional is PBE-GGA.

crystal system	orthorhombic

Geometry as extended XYZ:
```
12
Lattice="3.0350 0.0000 0.0000 -1.5175 5.8275 0.0000 0.0000 0.0000 9.1461" Properties=species:S:1:pos:R:3 pbc="T T T"
N 0.0000 4.5813 7.6206
N 1.5175 1.2462 3.0476
N 1.5175 3.9455 2.2865
N 0.0000 4.5813 6.0985
N 1.5175 1.2462 1.5255
N 0.0000 1.8820 6.8596
Nb 1.5175 3.2920 6.8596
Nb 0.0000 2.5355 2.2865
Li 1.5175 0.6078 6.8596
Li 0.0000 5.2197 2.2865
Na 0.0000 0.0000 4.5731
Na 0.0000 0.0000 0.0000
```



# 2
This record from the Alexandria database describes crystalline NaLi2NiN at its relaxed geometry. The functional is PBE-GGA.

crystal system	tetragonal

Geometry as extended XYZ:
```
5
Lattice="-2.9040 -2.8477 -1.0535 1.2595 0.1965 -4.0034 2.3990 -2.6770 0.6234" Properties=species:S:1:pos:R:3 pbc="T T T"
Li -1.4520 -1.4239 -0.5267
Li 0.6298 0.0983 -2.0017
N 0.0000 0.0000 0.0000
Na 0.3773 -2.6641 -2.2167
Ni 1.1995 -1.3385 0.3117
```



# 3
This record from the Alexandria database describes crystalline NaLiNiN at its relaxed geometry. The functional is PBE-GGA.

crystal system	orthorhombic

Geometry as extended XYZ:
```
4
Lattice="-0.0588 0.6705 -3.4281 -2.3000 -2.8912 -0.5260 -2.4272 3.8700 2.5786" Properties=species:S:1:pos:R:3 pbc="T T T"
N -2.4438 -0.4556 -0.0472
Li -1.9396 1.4841 0.3235
Ni -2.4677 -0.1246 -1.7622
Na -4.7028 1.5856 -1.3894
```



# 4
This record from the Alexandria database describes crystalline Na2LiNiN at its relaxed geometry. The functional is PBE-GGA.

crystal system	tetragonal

Geometry as extended XYZ:
```
5
Lattice="5.0664 0.0000 0.0000 0.0000 5.0664 0.0000 0.0000 0.0000 3.4999" Properties=species:S:1:pos:R:3 pbc="T T T"
Na 2.5332 0.0000 0.0000
Na 0.0000 2.5332 0.0000
Li 2.5332 2.5332 1.7499
Ni 0.0000 0.0000 1.7499
N 0.0000 0.0000 0.0000
```



# 5
This record from the Alexandria database describes crystalline NaLiNpN3 at its relaxed geometry. The functional is PBE-GGA.

crystal system	orthorhombic

Geometry as extended XYZ:
```
12
Lattice="-2.0008 2.3698 0.4223 -1.8167 -2.7878 -4.5630 -6.6292 -6.8082 6.7989" Properties=species:S:1:pos:R:3 pbc="T T T"
Li -4.0230 -3.0481 -1.9548
Li -6.4236 -4.1781 4.6130
Np -2.5360 -2.2020 0.3423
Np -7.9107 -5.0242 2.3159
N -6.6101 -5.7165 0.7623
N -8.0154 -7.1597 2.2036
N -2.4312 -0.0665 0.4546
N -4.3023 -1.4529 -0.6297
N -6.1443 -5.7733 3.2879
N -3.8365 -1.5097 1.8959
Na 0.0000 0.0000 0.0000
Na -3.3146 -3.4041 3.3994
```



# 6
This record from the Alexandria database describes crystalline Na3LiNp2N6 at its relaxed geometry. The functional is PBE-GGA.

crystal system	monoclinic

Geometry as extended XYZ:
```
12
Lattice="-1.9502 1.7036 -5.2091 -3.8044 -0.6806 4.3478 2.7578 4.9930 1.7807" Properties=species:S:1:pos:R:3 pbc="T T T"
Na -0.8609 3.8277 -2.8261
Na -2.1359 2.1883 3.7454
Na -1.4984 3.0080 0.4597
Li 0.0000 0.0000 0.0000
N -1.7318 5.2760 -1.0016
N -2.4310 4.3770 2.6020
N -0.5658 1.6390 -1.6826
N -1.2650 0.7401 1.9209
N -3.4209 1.6689 -0.2474
N 0.4241 4.3471 1.1667
Np -2.5658 0.9120 -2.0361
Np -3.1888 0.1110 1.1748
```



# 7
This record from the Alexandria database describes crystalline NaLiNp4N8 at its relaxed geometry. The functional is PBE-GGA.

crystal system	trigonal

Geometry as extended XYZ:
```
14
Lattice="6.8914 0.0000 0.0000 3.4457 5.9681 0.0000 3.4457 1.9894 4.9443" Properties=species:S:1:pos:R:3 pbc="T T T"
N 8.8023 5.0820 1.3679
N 3.4457 1.9894 1.5309
N 10.3371 5.9681 3.6592
N 5.0161 2.8960 3.3367
N 4.9805 5.0820 1.3679
N 8.7667 2.8960 3.3367
N 6.8914 1.7722 1.3679
N 6.8914 6.1442 3.3367
Np 5.1542 1.0030 2.4854
Np 3.4457 3.9622 2.4854
Np 6.8914 3.9787 1.0528
Np 1.7372 1.0030 2.4854
Li 10.3371 5.9681 0.0557
Na 6.8914 3.9787 4.2693
```



# 8
This record from the Alexandria database describes crystalline Na4LiNp3N8 at its relaxed geometry. The functional is PBE-GGA.

crystal system	trigonal

Geometry as extended XYZ:
```
16
Lattice="-2.4230 -0.5272 6.3542 -4.7000 -4.4636 -2.1626 6.6118 -1.1506 -1.2351" Properties=species:S:1:pos:R:3 pbc="T T T"
Np 0.9559 -2.8071 -1.6989
Np -0.2556 -3.0707 1.4782
Np -3.5615 -2.4954 2.0958
Na 0.0000 0.0000 0.0000
Na 2.0944 -0.8389 2.5595
Na -1.2115 -0.2636 3.1771
Na 3.3059 -0.5753 -0.6176
N 0.0292 -2.4032 3.4727
N -1.9706 -4.0037 2.5773
N 1.4594 -2.1377 0.3792
N -1.8235 -1.6628 1.2099
N -0.5405 -3.7382 -0.5162
N -2.8942 -1.8957 4.0178
N 2.3830 -4.2457 -1.0613
N 1.3122 -4.4786 1.7466
Li -2.3500 -2.2318 -1.0813
```



# 9
This record from the Alexandria database describes crystalline NaLi2Np3N6 at its relaxed geometry. The functional is PBE-GGA.

crystal system	monoclinic

Geometry as extended XYZ:
```
12
Lattice="-0.2586 -1.4579 3.1326 6.1482 -2.4149 -0.6163 1.6700 7.1104 1.5307" Properties=species:S:1:pos:R:3 pbc="T T T"
Li 4.8519 1.8546 3.1799
Li 2.7077 1.3831 0.8672
Na -0.1293 -0.7289 1.5663
N 4.0915 -0.1648 2.1773
N 3.1239 4.7671 4.3926
N 3.4681 3.4024 1.8697
N 0.7352 1.4546 2.6539
N 6.8244 1.7830 1.3932
N 4.4357 -1.5294 -0.3456
Np 5.6168 0.1605 0.5384
Np 1.9428 3.0772 3.5087
Np 2.9448 -1.9364 1.2582
```



# 10
This record from the Alexandria database describes crystalline NaLi2OsN at its relaxed geometry. The functional is PBE-GGA.

crystal system	tetragonal

Geometry as extended XYZ:
```
5
Lattice="4.3564 0.0000 0.0000 0.0000 4.3564 0.0000 0.0000 0.0000 3.8188" Properties=species:S:1:pos:R:3 pbc="T T T"
N 0.0000 0.0000 0.0000
Li 2.1782 0.0000 0.0000
Li 0.0000 2.1782 0.0000
Na 2.1782 2.1782 1.9094
Os 0.0000 0.0000 1.9094
```



# 11
This record from the Alexandria database describes crystalline NaLiPbN2 at its relaxed geometry. The functional is PBE-GGA.

crystal system	tetragonal

Geometry as extended XYZ:
```
5
Lattice="4.5300 0.0000 0.0000 0.0000 4.1522 0.0000 0.0000 0.0000 4.5300" Properties=species:S:1:pos:R:3 pbc="T T T"
N 2.2650 0.0000 0.0000
N 0.0000 0.0000 2.2650
Na 0.0000 0.0000 0.0000
Pb 2.2650 2.0761 2.2650
Li 0.0000 2.0761 0.0000
```



# 12
This record from the Alexandria database describes crystalline NaLi2PdN at its relaxed geometry. The functional is PBE-GGA.

crystal system	tetragonal

Geometry as extended XYZ:
```
5
Lattice="-1.8080 -1.2486 3.4487 -3.0553 -1.6146 -2.1863 2.0740 -3.6215 -0.2239" Properties=species:S:1:pos:R:3 pbc="T T T"
Pd 1.0370 -1.8108 -0.1119
N 0.0000 0.0000 0.0000
Na -1.3947 -3.2424 0.5193
Li -0.9040 -0.6243 1.7244
Li -1.5276 -0.8073 -1.0932
```



no.,total moment (μB per cell),electronic total energy (eV/atom),uncorrected formation energy (eV/atom)
1,0.000,-6.675,-0.2948
2,0.000,-4.012,-0.1616
3,0.000,-4.566,-0.2312
4,0.365,-3.690,0.0415
5,0.000,-7.275,-0.4165
6,0.000,-7.472,-0.6633
7,6.000,-9.460,-0.7744
8,2.003,-7.730,-0.6914
9,6.000,-8.705,-0.8786
10,0.000,-4.962,-0.0219
11,2.000,-3.411,1.3078
12,0.000,-3.912,-0.1794